[1]
HfBe2Ni2 | PBE | optimized geometry

Cell and atoms, written as extended XYZ:
```
10
Lattice="6.7065 0.0000 0.0000 0.0000 6.7065 0.0000 0.0000 0.0000 2.6180" Properties=species:S:1:pos:R:3 pbc="T T T"
Hf 0.0000 0.0000 0.0000
Hf 3.3532 3.3532 0.0000
Be 1.0383 2.3149 1.3090
Be 2.3149 5.6682 1.3090
Be 4.3915 1.0383 1.3090
Be 5.6682 4.3915 1.3090
Ni 0.9056 4.2588 0.0000
Ni 2.4477 0.9056 0.0000
Ni 4.2588 5.8009 0.0000
Ni 5.8009 2.4477 0.0000
```

Output
symmetry = P4/mbm (127)
formation enthalpy at 0 K = -19 kJ per mole of atoms
energy above the lowest structure with this stoichiometry = 0.193 eV per atom

[2]
CoPbBr | PBE | optimized geometry

Cell and atoms, written as extended XYZ:
```
3
Lattice="0.0000 3.4973 3.4973 3.4973 0.0000 3.4973 3.4973 3.4973 0.0000" Properties=species:S:1:pos:R:3 pbc="T T T"
Co 0.0000 0.0000 0.0000
Pb 3.4973 3.4973 3.4973
Br 5.2460 5.2460 5.2460
```

Output
raw formation energy = 1.001 eV per atom
symmetry = F-43m (216)
energy above the lowest structure with this stoichiometry = 0.860 eV per atom

[3]
Tb2DyPaAs5 | PBE | optimized geometry

Cell and atoms, written as extended XYZ:
```
9
Lattice="5.0574 0.0000 0.0000 0.0000 5.0574 0.0000 0.0000 0.0000 10.8740" Properties=species:S:1:pos:R:3 pbc="T T T"
Tb 0.0000 0.0000 2.5382
Tb 0.0000 0.0000 8.3357
Dy 2.5287 2.5287 5.4370
Pa 2.5287 2.5287 0.0000
As 0.0000 0.0000 5.4370
As 0.0000 2.5287 0.0000
As 2.5287 0.0000 0.0000
As 2.5287 2.5287 2.7617
As 2.5287 2.5287 8.1123
```

Output
symmetry = P4/mmm (123)
formation enthalpy at 0 K = -47 kJ per mole of atoms

| no. | E (eV/atom) |
| --- | --- |
| 1 | -5.993 |
| 2 | -3.162 |
| 3 | -5.667 |